(1)
The following is a DFT calculation (GGA-PBE) of crystalline CoRe2Pt at its relaxed geometry.

Space-group type   P4/mmm (123)
Excess energy over the best structure of this formula in the dataset   252 meV per atom
N(E_F)   3.8 states/eV per cell
Energy relative to the elements   0.25 eV/atom

a b c (Å): 3.206 3.206 5.588
angles (deg): 90.00 90.00 90.00
Last column: magnetic moment on the atom in μB.
Fractional coordinates of all 4 atoms:
Co  0.500  0.500  0.250  0.85
Pt  0.500  0.500  0.750  0.08
Re  0.000  0.000  0.035  0.11
Re  0.000  0.000  0.465  0.11

***

(2)
The following is a DFT calculation (GGA-PBE) of crystalline CoRePt2 at its relaxed geometry.

Space-group type   I4/mmm (139)
Excess energy over the best structure of this formula in the dataset   71 meV per atom
N(E_F)   5.2 states/eV per cell
Energy relative to the elements   -0.02 eV/atom

a b c (Å): 4.756 4.756 4.756
angles (deg): 133.04 133.04 68.59
Last column: magnetic moment on the atom in μB.
Fractional coordinates of all 4 atoms:
Co  0.250  0.750  0.500  0.72
Pt  0.000  0.000  0.000  0.01
Pt  0.500  0.500  0.000  0.01
Re  0.750  0.250  0.500  -0.15

***

(3)
The following is a DFT calculation (GGA-PBE) of crystalline CoReSb2Pt at its relaxed geometry.

Space-group type   P4/mmm (123)
N(E_F)   5.3 states/eV per cell
Uncorrected formation energy   141.0 kJ per mole of atoms

a b c (Å): 5.114 4.596 5.114
angles (deg): 90.00 90.00 90.00
Last column: magnetic moment on the atom in μB.
Fractional coordinates of all 5 atoms:
Re  0.500  0.500  0.500  2.74
Co  0.000  0.500  0.000  1.95
Pt  0.000  0.000  0.000  0.09
Sb  0.000  0.000  0.500  -0.07
Sb  0.500  0.000  0.000  -0.11

***

(4)
The following is a DFT calculation (GGA-PBE) of crystalline Co2ReSiPt at its relaxed geometry.

Space-group type   P4/mmm (123)
N(E_F)   6.6 states/eV per cell
Uncorrected formation energy   80.2 kJ per mole of atoms

a b c (Å): 4.126 4.462 4.126
angles (deg): 90.00 90.00 90.00
Last column: magnetic moment on the atom in μB.
Fractional coordinates of all 5 atoms:
Re  0.000  0.500  0.000  0.59
Si  0.000  0.000  0.000  -0.04
Co  0.000  0.000  0.500  1.39
Co  0.500  0.000  0.000  1.33
Pt  0.500  0.500  0.500  0.33

***

(5)
The following is a DFT calculation (GGA-PBE) of crystalline CoReSn2Pt at its relaxed geometry.

Space-group type   P4/mmm (123)
N(E_F)   6.8 states/eV per cell
Energy relative to the elements   1.19 eV/atom

a b c (Å): 5.136 4.878 5.136
angles (deg): 90.00 90.00 90.00
Last column: magnetic moment on the atom in μB.
Fractional coordinates of all 5 atoms:
Re  0.000  0.000  0.000  0.06
Co  0.500  0.500  0.500  2.08
Sn  0.000  0.000  0.500  -0.02
Sn  0.500  0.000  0.000  -0.01
Pt  0.000  0.500  0.000  0.02

***

(6)
The following is a DFT calculation (GGA-PBE) of crystalline V2CoRePt at its relaxed geometry.

Space-group type   P4/mmm (123)
N(E_F)   5.3 states/eV per cell
Energy relative to the elements   1.24 eV/atom

a b c (Å): 4.487 4.446 4.487
angles (deg): 90.00 90.00 90.00
Last column: magnetic moment on the atom in μB.
Fractional coordinates of all 5 atoms:
Re  0.000  0.000  0.000  -0.04
Co  0.000  0.500  0.000  1.12
Pt  0.500  0.500  0.500  0.09
V  0.000  0.000  0.500  0.15
V  0.500  0.000  0.000  0.16